Entry 1:
A plane-wave DFT calculation with PBE was carried out for crystalline K2Ho2TiO6 at its relaxed geometry.

a = 5.699 Å, b = 5.699 Å, c = 6.577 Å
α = 97.75°, β = 97.75°, γ = 119.54°
Fractional positions:
O1 0.644 0.952 0.330
K1 0.837 0.163 0.000
Ho1 0.335 0.665 0.500
K2 0.163 0.837 0.000
O2 0.757 0.757 0.670
O3 0.356 0.048 0.670
Ho2 0.665 0.335 0.500
O4 0.952 0.644 0.330
O5 0.243 0.243 0.330
O6 0.048 0.356 0.670
Ti1 0.000 0.000 0.500

=====

Entry 2:
A plane-wave DFT calculation with PBE was carried out for crystalline KHoTiO4 at its relaxed geometry.

a = 5.902 Å, b = 5.995 Å, c = 7.464 Å
α = 90.00°, β = 108.66°, γ = 90.00°
Fractional positions:
K1 0.685 0.750 0.932
O1 0.052 0.522 0.329
Ho1 0.186 0.250 0.541
O2 0.476 0.750 0.200
O3 0.524 0.250 0.800
Ti1 0.272 0.750 0.340
Ti2 0.728 0.250 0.660
Ho2 0.814 0.750 0.459
O4 0.490 0.750 0.569
O5 0.948 0.478 0.671
O6 0.052 0.978 0.329
O7 0.948 0.022 0.671
O8 0.510 0.250 0.431
K2 0.315 0.250 0.068

=====

Entry 3:
A plane-wave DFT calculation with PBE was carried out for crystalline K3Ho2TlO6 at its relaxed geometry.

a = 6.005 Å, b = 6.005 Å, c = 6.584 Å
α = 98.72°, β = 98.72°, γ = 119.99°
Fractional positions:
Ho1 0.667 0.333 0.000
O1 0.936 0.592 0.809
O2 0.720 0.720 0.191
K1 0.500 0.500 0.500
Ho2 0.333 0.667 0.000
K2 0.163 0.837 0.500
O3 0.592 0.936 0.809
O4 0.408 0.064 0.191
Tl1 0.000 0.000 0.000
O5 0.280 0.280 0.809
O6 0.064 0.408 0.191
K3 0.837 0.163 0.500

=====

Table of energy (eV for the cell shown), in record order: -80.49, -107.91, -70.77
Table of magnetic moment (μB/cell), in record order: 0.0, 0.0, 0.0
Table of uncorrected formation energy (kcal/mol of atoms), in record order: -66.0, -67.7, -50.4